(w)
Below is an optimized crystal structure of ZnPSCl2, with properties calculated at the PBE level.

Properties
crystal system	tetragonal

POSCAR file:
```
ZnPSCl2
1.0
-2.7616 1.6828 3.2814
-2.4944 -3.8718 -0.1137
3.1058 -2.1094 3.6954
P Zn S Cl
1 1 1 2
Direct
0.0000 0.0000 0.5000 P
0.0000 0.0000 0.0000 Zn
0.5000 0.5000 0.5000 S
0.0000 0.5000 0.0000 Cl
0.5000 0.0000 0.0000 Cl
```

(x)
Below is an optimized crystal structure of ZnPSCl2, with properties calculated at the PBE level.

Properties
crystal system	tetragonal

POSCAR file:
```
ZnPSCl2
1.0
-0.7176 -0.4959 -4.7475
-3.9731 -2.5989 0.8720
-2.6112 3.9846 -0.0215
P Zn S Cl
1 1 1 2
Direct
0.0000 0.0000 0.5000 P
0.5000 0.5000 0.5000 Zn
0.0000 0.0000 0.0000 S
0.0000 0.5000 0.0000 Cl
0.5000 0.0000 0.0000 Cl
```

(y)
Below is an optimized crystal structure of ZnPSCl2, with properties calculated at the PBE level.

Properties
crystal system	tetragonal

POSCAR file:
```
ZnPSCl2
1.0
4.6185 0.0000 0.0000
0.0000 4.6185 0.0000
0.0000 0.0000 5.1678
P Zn S Cl
1 1 1 2
Direct
0.5000 0.5000 0.5000 P
0.0000 0.0000 0.0000 Zn
0.0000 0.0000 0.5000 S
0.0000 0.5000 0.0000 Cl
0.5000 0.0000 0.0000 Cl
```

(y) wins, 115 meV/atom ahead of the next structure.

(w)
Below is an optimized crystal structure of ZnP2SCl, with properties calculated at the PBE level.

Properties
crystal system	tetragonal

POSCAR file:
```
ZnP2SCl
1.0
4.7842 0.0000 0.0000
0.0000 4.7842 0.0000
0.0000 0.0000 4.5305
P Zn S Cl
2 1 1 1
Direct
0.0000 0.5000 0.0000 P
0.5000 0.0000 0.0000 P
0.0000 0.0000 0.0000 Zn
0.0000 0.0000 0.5000 S
0.5000 0.5000 0.5000 Cl
```

(x)
Below is an optimized crystal structure of ZnP2SCl, with properties calculated at the PBE level.

Properties
crystal system	tetragonal

POSCAR file:
```
ZnP2SCl
1.0
4.5923 0.0000 0.0000
0.0000 4.5923 0.0000
0.0000 0.0000 4.9610
P Zn S Cl
2 1 1 1
Direct
0.0000 0.5000 0.0000 P
0.5000 0.0000 0.0000 P
0.5000 0.5000 0.5000 Zn
0.0000 0.0000 0.0000 S
0.0000 0.0000 0.5000 Cl
```

(y)
Below is an optimized crystal structure of ZnP2SCl, with properties calculated at the PBE level.

Properties
crystal system	tetragonal

POSCAR file:
```
ZnP2SCl
1.0
-0.3002 -2.6044 -3.9711
4.2109 -1.9856 0.9838
-2.0960 -3.2956 2.3198
P Zn S Cl
2 1 1 1
Direct
0.0000 0.5000 0.0000 P
0.5000 0.0000 0.0000 P
0.0000 0.0000 0.0000 Zn
0.5000 0.5000 0.5000 S
0.0000 0.0000 0.5000 Cl
```

(z)
Below is an optimized crystal structure of ZnP2SCl, with properties calculated at the PBE level.

Properties
crystal system	tetragonal

POSCAR file:
```
ZnP2SCl
1.0
4.5831 0.0000 0.0000
0.0000 4.5831 0.0000
0.0000 0.0000 4.9051
P Zn S Cl
2 1 1 1
Direct
0.0000 0.5000 0.0000 P
0.5000 0.0000 0.0000 P
0.5000 0.5000 0.5000 Zn
0.0000 0.0000 0.5000 S
0.0000 0.0000 0.0000 Cl
```

(x) wins, 42 meV/atom ahead of the next structure.

(w)
Below is an optimized crystal structure of ZrPSCl2, with properties calculated at the PBE level.

Properties
crystal system	tetragonal

POSCAR file:
```
ZrPSCl2
1.0
-4.9307 -1.3923 0.3580
0.7939 -1.5707 4.8251
-1.1587 4.5317 1.6659
P S Zr Cl
1 1 1 2
Direct
0.5000 0.5000 0.5000 P
0.0000 0.0000 0.5000 S
0.0000 0.0000 0.0000 Zr
0.0000 0.5000 0.0000 Cl
0.5000 0.0000 0.0000 Cl
```

(x)
Below is an optimized crystal structure of ZrPSCl2, with properties calculated at the PBE level.

Properties
crystal system	tetragonal

POSCAR file:
```
ZrPSCl2
1.0
-3.7421 -1.0350 2.4999
0.9124 -4.4994 -0.4971
2.6693 0.0955 4.0352
P S Zr Cl
1 1 1 2
Direct
0.0000 0.0000 0.5000 P
0.0000 0.0000 0.0000 S
0.5000 0.5000 0.5000 Zr
0.0000 0.5000 0.0000 Cl
0.5000 0.0000 0.0000 Cl
```

(y)
Below is an optimized crystal structure of ZrPSCl2, with properties calculated at the PBE level.

Properties
crystal system	tetragonal

POSCAR file:
```
ZrPSCl2
1.0
-2.0947 -4.0385 -0.8891
0.3274 -1.1555 4.4772
-4.3416 2.0647 0.8503
P S Zr Cl
1 1 1 2
Direct
0.0000 0.0000 0.0000 P
0.0000 0.0000 0.5000 S
0.5000 0.5000 0.5000 Zr
0.0000 0.5000 0.0000 Cl
0.5000 0.0000 0.0000 Cl
```

(w) wins, 631 meV/atom ahead of the next structure.

(w)
Below is an optimized crystal structure of ZrPS2Cl, with properties calculated at the PBE level.

Properties
crystal system	tetragonal

POSCAR file:
```
ZrPS2Cl
1.0
-3.8757 -2.3518 0.7347
2.2466 -2.8108 2.8538
-0.9937 2.7185 3.4598
P S Zr Cl
1 2 1 1
Direct
0.0000 0.0000 0.5000 P
0.0000 0.5000 0.0000 S
0.5000 0.0000 0.0000 S
0.5000 0.5000 0.5000 Zr
0.0000 0.0000 0.0000 Cl
```

(x)
Below is an optimized crystal structure of ZrPS2Cl, with properties calculated at the PBE level.

Properties
crystal system	tetragonal

POSCAR file:
```
ZrPS2Cl
1.0
-2.4275 1.0399 4.1088
-3.9644 -2.2317 -1.7774
1.6440 -4.6265 2.1422
P S Zr Cl
1 2 1 1
Direct
0.0000 0.0000 0.5000 P
0.0000 0.5000 0.0000 S
0.5000 0.0000 0.0000 S
0.0000 0.0000 0.0000 Zr
0.5000 0.5000 0.5000 Cl
```

(y)
Below is an optimized crystal structure of ZrPS2Cl, with properties calculated at the PBE level.

Properties
crystal system	tetragonal

POSCAR file:
```
ZrPS2Cl
1.0
-3.8955 -0.4035 -2.4456
2.2417 -2.1593 -3.2144
-0.8903 -4.0238 2.0821
P S Zr Cl
1 2 1 1
Direct
0.0000 0.0000 0.0000 P
0.0000 0.0000 0.5000 S
0.5000 0.0000 0.0000 S
0.5000 0.5000 0.5000 Zr
0.0000 0.5000 0.0000 Cl
```

(x) wins, 117 meV/atom ahead of the next structure.

(w)
Below is an optimized crystal structure of SbPCl2, with properties calculated at the PBE level.

Properties
crystal system	monoclinic

POSCAR file:
```
SbPCl2
1.0
-2.6777 5.3334 0.4327
-4.4557 3.2999 -2.2494
-4.4488 -1.6097 4.1697
Cl P Sb
2 1 1
Direct
0.9859 0.9859 0.0910 Cl
0.7484 0.7484 0.6624 Cl
0.5954 0.5954 0.5097 P
0.1703 0.1703 0.2369 Sb
```

(x)
Below is an optimized crystal structure of SbPCl2, with properties calculated at the PBE level.

Properties
crystal system	tetragonal

POSCAR file:
```
SbPCl2
1.0
4.3516 0.0000 0.0000
0.0000 4.3516 0.0000
2.1758 2.1758 9.3953
Sb P Cl
2 2 4
Direct
0.0000 0.0000 0.0000 Sb
0.7500 0.2500 0.5000 Sb
0.5000 0.5000 0.0000 P
0.2500 0.7500 0.5000 P
0.6201 0.1250 0.2500 Cl
0.1299 0.6250 0.2500 Cl
0.3750 0.3799 0.7500 Cl
0.8750 0.8701 0.7500 Cl
```

(y)
Below is an optimized crystal structure of SbPCl2, with properties calculated at the PBE level.

Properties
crystal system	cubic

POSCAR file:
```
SbPCl2
1.0
1.5444 -3.6969 2.8842
2.0743 0.9806 4.3711
-2.4200 -1.0521 4.1722
Sb P Cl
1 1 2
Direct
0.5000 0.5000 0.5000 Sb
0.0000 0.0000 0.0000 P
0.2500 0.2500 0.2500 Cl
0.7500 0.7500 0.7500 Cl
```

(z)
Below is an optimized crystal structure of SbPCl2, with properties calculated at the PBE level.

Properties
crystal system	orthorhombic

POSCAR file:
```
SbPCl2
1.0
5.6143 0.0022 0.0028
1.8635 5.2960 -0.0028
-2.8201 -3.9459 2.8280
Cl P Sb
2 1 1
Direct
0.9893 0.9893 0.0000 Cl
0.5107 0.5107 0.0000 Cl
0.7500 0.2500 0.5000 P
0.2500 0.7500 0.5000 Sb
```

(w) wins, 517 meV/atom ahead of the next structure.

(w)
Below is an optimized crystal structure of SbPCl2, with properties calculated at the PBE level.

Properties
crystal system	orthorhombic

POSCAR file:
```
SbPCl2
1.0
-2.1725 2.3398 -1.1402
1.5480 -2.2656 -1.9913
-8.7747 -7.3795 1.5750
Cl P Sb
2 1 1
Direct
0.0000 0.0000 0.0957 Cl
0.0000 0.0000 0.4043 Cl
0.5000 0.5000 0.2500 P
0.5000 0.5000 0.7500 Sb
```

(x)
Below is an optimized crystal structure of SbPCl2, with properties calculated at the PBE level.

Properties
crystal system	orthorhombic

POSCAR file:
```
SbPCl2
1.0
-1.8757 -2.7663 4.2508
5.3372 0.8103 0.3126
-0.4954 2.6756 1.5226
Cl P Sb
2 1 1
Direct
0.0000 0.0000 0.0000 Cl
0.5000 0.5000 0.0000 Cl
0.5000 0.0000 0.5000 P
0.0000 0.5000 0.5000 Sb
```

(w) wins, 230 meV/atom ahead of the next structure.

(w)
Below is an optimized crystal structure of SbPCl2, with properties calculated at the PBE level.

Properties
crystal system	tetragonal

POSCAR file:
```
SbPCl2
1.0
3.1012 0.0000 0.0000
0.0000 3.1012 0.0000
0.0000 0.0000 8.8329
Cl P Sb
2 1 1
Direct
0.0000 0.0000 0.0047 Cl
0.0000 0.0000 0.4953 Cl
0.5000 0.5000 0.2500 P
0.5000 0.5000 0.7500 Sb
```

(x)
Below is an optimized crystal structure of SbPCl2, with properties calculated at the PBE level.

Properties
crystal system	orthorhombic

POSCAR file:
```
SbPCl2
1.0
3.2964 0.0000 0.0000
0.0000 5.5154 0.0000
0.0000 0.0000 4.6253
Cl P Sb
2 1 1
Direct
0.0000 0.0000 0.0000 Cl
0.5000 0.5000 0.0000 Cl
0.5000 0.0000 0.5000 P
0.0000 0.5000 0.5000 Sb
```

(x) wins, 255 meV/atom ahead of the next structure.

(w)
Below is an optimized crystal structure of SbPCl2, with properties calculated at the PBE level.

Properties
crystal system	tetragonal

POSCAR file:
```
SbPCl2
1.0
-0.6359 -3.9525 -0.0002
2.7750 -0.4463 -2.8508
5.3870 -0.8670 5.3795
Cl P Sb
2 1 1
Direct
0.0000 0.0000 0.9138 Cl
0.5000 0.5000 0.3180 Cl
0.0000 0.0000 0.6406 P
0.5000 0.5000 0.6277 Sb
```

(x)
Below is an optimized crystal structure of SbPCl2, with properties calculated at the PBE level.

Properties
crystal system	orthorhombic

POSCAR file:
```
SbPCl2
1.0
-0.7596 -1.2155 3.0961
2.4348 -1.2847 -2.0154
6.7093 6.2710 4.1080
Cl P Sb
2 1 1
Direct
0.0000 0.0000 0.9524 Cl
0.5000 0.5000 0.3139 Cl
0.0000 0.0000 0.4971 P
0.5000 0.5000 0.7366 Sb
```

(w) wins, 581 meV/atom ahead of the next structure.

(w)
Below is an optimized crystal structure of SbPCl2, with properties calculated at the PBE level.

Properties
crystal system	orthorhombic

POSCAR file:
```
SbPCl2
1.0
-1.1579 1.6222 -2.3993
-3.8311 -2.2958 0.2966
-2.1821 4.1391 3.8515
Cl P Sb
2 1 1
Direct
0.0000 0.0000 0.9997 Cl
0.0000 0.0000 0.5003 Cl
0.5000 0.5000 0.2500 P
0.5000 0.5000 0.7500 Sb
```

(x)
Below is an optimized crystal structure of SbPCl2, with properties calculated at the PBE level.

Properties
crystal system	tetragonal

POSCAR file:
```
SbPCl2
1.0
-0.7267 0.8527 -3.6253
3.0756 -1.9455 -1.0741
-3.3704 -5.0458 -0.5112
Cl P Sb
2 1 1
Direct
0.0000 0.0000 0.9985 Cl
0.0000 0.0000 0.5015 Cl
0.5000 0.5000 0.2500 P
0.5000 0.5000 0.7500 Sb
```

(y)
Below is an optimized crystal structure of SbPCl2, with properties calculated at the PBE level.

Properties
crystal system	tetragonal

POSCAR file:
```
SbPCl2
1.0
-2.3185 0.5387 -3.5728
0.2269 -4.2150 -0.7827
-3.8224 -0.6482 2.3828
Cl P Sb
2 1 1
Direct
0.0000 0.0000 0.0000 Cl
0.5000 0.5000 0.0000 Cl
0.5000 0.0000 0.5000 P
0.0000 0.5000 0.5000 Sb
```

(y) wins, 51 meV/atom ahead of the next structure.

(w)
Below is an optimized crystal structure of SbPCl2, with properties calculated at the PBE level.

Properties
crystal system	monoclinic

POSCAR file:
```
SbPCl2
1.0
5.5646 -0.0177 0.0526
-2.1090 5.1495 0.0526
1.7265 2.5639 3.1874
Cl P Sb
2 1 1
Direct
0.0000 0.0000 0.0000 Cl
0.5000 0.5000 0.0000 Cl
0.5000 0.0000 0.5000 P
0.0000 0.5000 0.5000 Sb
```

(x)
Below is an optimized crystal structure of SbPCl2, with properties calculated at the PBE level.

Properties
crystal system	trigonal

POSCAR file:
```
SbPCl2
1.0
8.7395 0.0385 0.0230
7.8725 3.7952 0.0230
7.8725 1.8168 3.3321
Cl P Sb
2 1 1
Direct
0.9755 0.9755 0.9755 Cl
0.7777 0.7777 0.7777 Cl
0.5139 0.5139 0.5139 P
0.2329 0.2329 0.2329 Sb
```

(y)
Below is an optimized crystal structure of SbPCl2, with properties calculated at the PBE level.

Properties
crystal system	orthorhombic

POSCAR file:
```
SbPCl2
1.0
7.5518 0.1815 0.0036
5.2359 5.4450 -0.0036
-6.1583 -3.3486 2.8151
Cl P Sb
2 1 1
Direct
0.9664 0.9664 0.0000 Cl
0.7476 0.2476 0.5000 Cl
0.4610 0.4610 0.0000 P
0.3250 0.8250 0.5000 Sb
```

(x) wins, 40 meV/atom ahead of the next structure.